No. 1
Here is a geometry-optimized Ge4PbC2 structure from Alexandria via LeMat-Bulk. Energies are from GGA-PBE.

As for the total energy: -4.67 eV per atom. As for the calculated formation energy: 1.14 eV/atom. As for the space group: I4/mmm, No. 139.

Lattice parameters (Å, degrees): 7.0051 7.0051 7.0051 134.18 134.18 66.81
Fractional coordinates of all 7 atoms:
1 Ge 0.0000 0.5000 0.5000
2 Ge 0.2168 0.2168 0.0000
3 Ge 0.5000 0.0000 0.5000
4 Ge 0.7832 0.7832 0.0000
5 Pb 0.5000 0.5000 0.0000
6 C 0.0564 0.0564 0.0000
7 C 0.9436 0.9436 0.0000

No. 2
Here is a geometry-optimized AlCo2Pb structure from Alexandria via LeMat-Bulk. Energies are from GGA-PBE.

As for the total energy: -5.15 eV per atom. As for the calculated formation energy: 0.27 eV/atom. The calculation puts the energy above the most stable polymorph in this dataset at 302.0 meV per atom. As for the space group: Imm2, No. 44.

Lattice parameters (Å, degrees): 5.2914 5.2914 5.2914 143.59 136.15 58.27
Fractional coordinates of all 4 atoms:
1 Al 0.0000 0.0000 0.0000
2 Co 0.1969 0.6969 0.5000
3 Co 0.4651 0.4651 0.0000
4 Pb 0.7360 0.2360 0.5000

No. 3
Here is a geometry-optimized TaTeH2 structure from Alexandria via LeMat-Bulk. Energies are from GGA-PBE.

As for the total energy: -5.44 eV per atom. The calculation puts the energy above the most stable polymorph in this dataset at 0.0 meV per atom. As for the space group: Cm, No. 8.

Lattice parameters (Å, degrees): 3.4723 3.4723 5.2458 109.18 109.18 60.03
Fractional coordinates of all 4 atoms:
1 Ta 0.0000 0.0000 0.0000
2 Te 0.8015 0.8015 0.4069
3 H 0.3185 0.3185 0.9549
4 H 0.6196 0.6196 0.8607

No. 4
Here is a geometry-optimized Ca3Ga5F12 structure from Alexandria via LeMat-Bulk. Energies are from GGA-PBE.

As for the total energy: -4.68 eV per atom. The value obtained for the uncorrected formation energy is -2495 meV per atom. As for the space group: Ia-3d, No. 230.

Lattice parameters (Å, degrees): 11.9790 11.9790 11.9790 109.47 109.47 109.47
Fractional coordinates of all 80 atoms:
1 Ca 0.1250 0.2500 0.3750
2 Ca 0.1250 0.3750 0.7500
3 Ca 0.2500 0.3750 0.1250
4 Ca 0.2500 0.8750 0.6250
5 Ca 0.3750 0.1250 0.2500
6 Ca 0.3750 0.7500 0.1250
7 Ca 0.6250 0.2500 0.8750
8 Ca 0.6250 0.8750 0.7500
9 Ca 0.7500 0.1250 0.3750
10 Ca 0.7500 0.6250 0.8750
11 Ca 0.8750 0.6250 0.2500
12 Ca 0.8750 0.7500 0.6250
13 Ga 0.0000 0.0000 0.0000
14 Ga 0.0000 0.0000 0.5000
15 Ga 0.0000 0.5000 0.0000
16 Ga 0.0000 0.5000 0.5000
17 Ga 0.1250 0.7500 0.8750
18 Ga 0.1250 0.8750 0.2500
19 Ga 0.2500 0.1250 0.8750
20 Ga 0.2500 0.6250 0.3750
21 Ga 0.3750 0.2500 0.6250
22 Ga 0.3750 0.6250 0.7500
23 Ga 0.5000 0.0000 0.0000
24 Ga 0.5000 0.0000 0.5000
25 Ga 0.5000 0.5000 0.0000
26 Ga 0.5000 0.5000 0.5000
27 Ga 0.6250 0.3750 0.2500
28 Ga 0.6250 0.7500 0.3750
29 Ga 0.7500 0.3750 0.6250
30 Ga 0.7500 0.8750 0.1250
31 Ga 0.8750 0.1250 0.7500
32 Ga 0.8750 0.2500 0.1250
33 F 0.0612 0.2298 0.1358
34 F 0.0612 0.3314 0.9254
35 F 0.0746 0.6358 0.4060
36 F 0.0746 0.9388 0.6686
37 F 0.0940 0.7298 0.6686
38 F 0.0940 0.8642 0.4254
39 F 0.1358 0.0612 0.2298
40 F 0.1358 0.5746 0.9060
41 F 0.1686 0.2298 0.5940
42 F 0.1686 0.4388 0.5746
43 F 0.2298 0.1358 0.0612
44 F 0.2298 0.5940 0.1686
45 F 0.2702 0.3314 0.9060
46 F 0.2702 0.4388 0.3642
47 F 0.3314 0.9060 0.2702
48 F 0.3314 0.9254 0.0612
49 F 0.3642 0.2702 0.4388
50 F 0.3642 0.5940 0.9254
51 F 0.4060 0.0746 0.6358
52 F 0.4060 0.8314 0.7702
53 F 0.4254 0.0940 0.8642
54 F 0.4254 0.8314 0.5612
55 F 0.4388 0.3642 0.2702
56 F 0.4388 0.5746 0.1686
57 F 0.5612 0.4254 0.8314
58 F 0.5612 0.6358 0.7298
59 F 0.5746 0.1686 0.4388
60 F 0.5746 0.9060 0.1358
61 F 0.5940 0.1686 0.2298
62 F 0.5940 0.9254 0.3642
63 F 0.6358 0.4060 0.0746
64 F 0.6358 0.7298 0.5612
65 F 0.6686 0.0746 0.9388
66 F 0.6686 0.0940 0.7298
67 F 0.7298 0.5612 0.6358
68 F 0.7298 0.6686 0.0940
69 F 0.7702 0.4060 0.8314
70 F 0.7702 0.8642 0.9388
71 F 0.8314 0.5612 0.4254
72 F 0.8314 0.7702 0.4060
73 F 0.8642 0.4254 0.0940
74 F 0.8642 0.9388 0.7702
75 F 0.9060 0.1358 0.5746
76 F 0.9060 0.2702 0.3314
77 F 0.9254 0.0612 0.3314
78 F 0.9254 0.3642 0.5940
79 F 0.9388 0.6686 0.0746
80 F 0.9388 0.7702 0.8642

No. 5
Here is a geometry-optimized NbPdCl2 structure from Alexandria via LeMat-Bulk. Energies are from GGA-PBE.

As for the total energy: -5.15 eV per atom. The value obtained for the uncorrected formation energy is -410 meV per atom. The calculation puts the energy above the most stable polymorph in this dataset at 0.0 meV per atom. As for the space group: R-3m, No. 166.

Lattice parameters (Å, degrees): 8.6281 8.6281 8.6281 21.04 21.04 21.04
Fractional coordinates of all 4 atoms:
1 Nb 0.0000 0.0000 0.0000
2 Pd 0.5000 0.5000 0.5000
3 Cl 0.4044 0.4044 0.4044
4 Cl 0.5956 0.5956 0.5956

No. 6
Here is a geometry-optimized Li2CuP structure from Alexandria via LeMat-Bulk. Energies are from GGA-PBE.

As for the total energy: -3.68 eV per atom. As for the calculated formation energy: -0.34 eV/atom. As for the space group: I4/mmm, No. 139.

Lattice parameters (Å, degrees): 4.4680 4.4680 4.4680 130.69 130.69 72.30
Fractional coordinates of all 4 atoms:
1 Li 0.2500 0.7500 0.5000
2 Li 0.7500 0.2500 0.5000
3 Cu 0.0000 0.0000 0.0000
4 P 0.5000 0.5000 0.0000

No. 7
Here is a geometry-optimized YFeCo10 structure from Alexandria via LeMat-Bulk. Energies are from GGA-PBE.

As for the total energy: -7.08 eV per atom. As for the calculated formation energy: 0.08 eV/atom. As for the space group: Pmmm, No. 47.

Lattice parameters (Å, degrees): 4.0247 4.7217 8.2921 90.00 90.00 90.00
Fractional coordinates of all 12 atoms:
1 Y 0.0000 0.0000 0.0000
2 Fe 0.0000 0.5000 0.5000
3 Co 0.0000 0.0000 0.3505
4 Co 0.0000 0.0000 0.6495
5 Co 0.0000 0.5000 0.2022
6 Co 0.0000 0.5000 0.7978
7 Co 0.5000 0.0000 0.5000
8 Co 0.5000 0.2521 0.2558
9 Co 0.5000 0.2521 0.7442
10 Co 0.5000 0.5000 0.0000
11 Co 0.5000 0.7479 0.2558
12 Co 0.5000 0.7479 0.7442

No. 8
Here is a geometry-optimized ReAg2Ir structure from Alexandria via LeMat-Bulk. Energies are from GGA-PBE.

As for the total energy: -6.07 eV per atom. As for the calculated formation energy: 0.69 eV/atom. The calculation puts the energy above the most stable polymorph in this dataset at 478.7 meV per atom. As for the space group: P4/mmm, No. 123.

Lattice parameters (Å, degrees): 2.6737 2.6737 9.0055 90.00 90.00 90.00
Fractional coordinates of all 4 atoms:
1 Re 0.0000 0.0000 0.0000
2 Ag 0.5000 0.5000 0.2523
3 Ag 0.5000 0.5000 0.7477
4 Ir 0.0000 0.0000 0.5000

No. 9
Here is a geometry-optimized Cr2W structure from Alexandria via LeMat-Bulk. Energies are from GGA-PBE.

As for the total energy: -10.35 eV per atom. As for the calculated formation energy: 0.39 eV/atom. The calculation puts the energy above the most stable polymorph in this dataset at 332.2 meV per atom. As for the space group: P6_3/mmc, No. 194.

Lattice parameters (Å, degrees): 4.3182 4.3182 5.1554 90.00 90.00 120.00
Fractional coordinates of all 6 atoms:
1 Cr 0.3333 0.6667 0.0426
2 Cr 0.3333 0.6667 0.4574
3 Cr 0.6667 0.3333 0.5426
4 Cr 0.6667 0.3333 0.9574
5 W 0.0000 0.0000 0.2500
6 W 0.0000 0.0000 0.7500

No. 10
Here is a geometry-optimized AlTlSb2Te structure from Alexandria via LeMat-Bulk. Energies are from GGA-PBE.

As for the total energy: -2.59 eV per atom. The value obtained for the uncorrected formation energy is 909 meV per atom. The calculation puts the energy above the most stable polymorph in this dataset at 665.7 meV per atom. As for the space group: P4/mmm, No. 123.

Lattice parameters (Å, degrees): 5.6937 5.6937 5.8842 90.00 90.00 90.00
Fractional coordinates of all 5 atoms:
1 Al 0.0000 0.0000 0.0000
2 Tl 0.5000 0.5000 0.5000
3 Sb 0.0000 0.5000 0.5000
4 Sb 0.5000 0.0000 0.5000
5 Te 0.5000 0.5000 0.0000

No. 11
Here is a geometry-optimized Cs3Pm3SnO8 structure from Alexandria via LeMat-Bulk. Energies are from GGA-PBE.

As for the total energy: -6.40 eV per atom. The value obtained for the uncorrected formation energy is -2369 meV per atom. As for the space group: R-3m, No. 166.

Lattice parameters (Å, degrees): 8.1305 8.1305 8.1305 52.09 52.09 52.09
Fractional coordinates of all 15 atoms:
1 Cs 0.0000 0.5000 0.5000
2 Cs 0.5000 0.0000 0.5000
3 Cs 0.5000 0.5000 0.0000
4 Pm 0.0000 0.0000 0.5000
5 Pm 0.0000 0.5000 0.0000
6 Pm 0.5000 0.0000 0.0000
7 Sn 0.5000 0.5000 0.5000
8 O 0.2205 0.2205 0.2205
9 O 0.2489 0.7047 0.7047
10 O 0.2953 0.2953 0.7511
11 O 0.2953 0.7511 0.2953
12 O 0.7047 0.2489 0.7047
13 O 0.7047 0.7047 0.2489
14 O 0.7511 0.2953 0.2953
15 O 0.7795 0.7795 0.7795

No. 12
Here is a geometry-optimized Sr2FePb structure from Alexandria via LeMat-Bulk. Energies are from GGA-PBE.

As for the total energy: -3.75 eV per atom. As for the calculated formation energy: 0.14 eV/atom. As for the space group: Cm, No. 8.

Lattice parameters (Å, degrees): 6.7497 6.7497 5.5034 113.93 113.93 33.49
Fractional coordinates of all 4 atoms:
1 Sr 0.0000 0.0000 0.0000
2 Sr 0.2010 0.2010 0.7001
3 Fe 0.7557 0.7557 0.2548
4 Pb 0.4209 0.4209 0.4211

no.,M_tot (μB/f.u.)
1,0.00
2,0.59
3,0.00
4,0.00
5,0.00
6,0.00
7,19.13
8,0.48
9,0.00
10,0.30
11,0.00
12,2.66